1.
Here is crystalline SrLa4Pr15 at its relaxed geometry from Alexandria. Energies are from PBE.

Geometry as CIF:
```
data_SrLa4Pr15
_chemical_formula_sum 'Sr1 La4 Pr15'
_cell_length_a 5.2977
_cell_length_b 5.2977
_cell_length_c 26.3871
_cell_angle_alpha 90.00
_cell_angle_beta 90.00
_cell_angle_gamma 90.00
_symmetry_space_group_name_H-M 'P 4/m m m'
_symmetry_Int_Tables_number 123
_symmetry_space_group_name_Hall '-P 4 2'
loop_
_atom_site_label
_atom_site_type_symbol
_atom_site_fract_x
_atom_site_fract_y
_atom_site_fract_z
_atom_site_occupancy
Sr1 Sr 0.0000 0.0000 0.0000 1
La1 La 0.0000 0.0000 0.2024 1
La2 La 0.0000 0.0000 0.4009 1
Pr1 Pr 0.0000 0.5000 0.1054 1
Pr2 Pr 0.0000 0.5000 0.3022 1
Pr3 Pr 0.0000 0.5000 0.5000 1
Pr4 Pr 0.5000 0.5000 0.0000 1
Pr5 Pr 0.5000 0.5000 0.2019 1
Pr6 Pr 0.5000 0.5000 0.4008 1
```

DOS at the Fermi energy   31.9 states/eV/cell
V   37.03 A^3/atom
Calculated total energy   -4.621 eV per atom
Crystal system   tetragonal
Size of the total moment   0.00 μB/cell

2.
Here is crystalline SrLa6Pr8 at its relaxed geometry from Alexandria. Energies are from PBE.

Geometry as CIF:
```
data_SrLa6Pr8
_chemical_formula_sum 'Sr3 La18 Pr24'
_cell_length_a 10.1326
_cell_length_b 10.1326
_cell_length_c 18.9259
_cell_angle_alpha 90.00
_cell_angle_beta 90.00
_cell_angle_gamma 120.00
_symmetry_space_group_name_H-M 'R -3'
_symmetry_Int_Tables_number 148
_symmetry_space_group_name_Hall '-R 3'
loop_
_atom_site_label
_atom_site_type_symbol
_atom_site_fract_x
_atom_site_fract_y
_atom_site_fract_z
_atom_site_occupancy
Sr1 Sr 0.0000 0.0000 0.0000 1
La1 La 0.0214 0.7837 0.4049 1
Pr1 Pr 0.0000 0.0000 0.2280 1
Pr2 Pr 0.0438 0.7552 0.8997 1
```

DOS at the Fermi energy   62.3 states/eV/cell
V   37.39 A^3/atom
Calculated total energy   -4.482 eV per atom
Crystal system   trigonal
Size of the total moment   0.00 μB/cell

3.
Here is crystalline SrLa7Pr4 at its relaxed geometry from Alexandria. Energies are from PBE.

Geometry as CIF:
```
data_SrLa7Pr4
_chemical_formula_sum 'Sr1 La7 Pr4'
_cell_length_a 6.5080
_cell_length_b 7.5525
_cell_length_c 9.9367
_cell_angle_alpha 100.92
_cell_angle_beta 108.97
_cell_angle_gamma 90.01
_symmetry_space_group_name_H-M 'P -1'
_symmetry_Int_Tables_number 2
_symmetry_space_group_name_Hall '-P 1'
loop_
_atom_site_label
_atom_site_type_symbol
_atom_site_fract_x
_atom_site_fract_y
_atom_site_fract_z
_atom_site_occupancy
Sr1 Sr 0.0000 0.0000 0.0000 1
La1 La 0.0000 0.5000 0.0000 1
La2 La 0.0031 0.6591 0.6619 1
La3 La 0.4870 0.9151 0.6593 1
La4 La 0.4993 0.2658 0.0003 1
Pr1 Pr 0.0047 0.1719 0.6606 1
Pr2 Pr 0.4951 0.5838 0.3330 1
```

DOS at the Fermi energy   21.6 states/eV/cell
V   37.71 A^3/atom
Calculated total energy   -4.559 eV per atom
Crystal system   triclinic
Size of the total moment   0.00 μB/cell

4.
Here is crystalline SrLaPr at its relaxed geometry from Alexandria. Energies are from PBE.

Geometry as CIF:
```
data_SrLaPr
_chemical_formula_sum 'Sr4 La4 Pr4'
_cell_length_a 5.5231
_cell_length_b 16.2723
_cell_length_c 5.4453
_cell_angle_alpha 90.00
_cell_angle_beta 90.00
_cell_angle_gamma 90.00
_symmetry_space_group_name_H-M 'C m c m'
_symmetry_Int_Tables_number 63
_symmetry_space_group_name_Hall '-C 2c 2'
loop_
_atom_site_label
_atom_site_type_symbol
_atom_site_fract_x
_atom_site_fract_y
_atom_site_fract_z
_atom_site_occupancy
Sr1 Sr 0.0000 0.0856 0.2500 1
La1 La 0.0000 0.2503 0.7500 1
Pr1 Pr 0.0000 0.4092 0.2500 1
```

DOS at the Fermi energy   23.1 states/eV/cell
V   40.78 A^3/atom
Crystal system   orthorhombic
Size of the total moment   0.00 μB/cell
E above lowest polymorph   75 meV/atom

5.
Here is crystalline SrLaPr14 at its relaxed geometry from Alexandria. Energies are from PBE.

Geometry as CIF:
```
data_SrLaPr14
_chemical_formula_sum 'Sr2 La2 Pr28'
_cell_length_a 12.1185
_cell_length_b 7.5484
_cell_length_c 13.0747
_cell_angle_alpha 90.00
_cell_angle_beta 90.00
_cell_angle_gamma 90.00
_symmetry_space_group_name_H-M 'A m m 2'
_symmetry_Int_Tables_number 38
_symmetry_space_group_name_Hall 'A 2 -2'
loop_
_atom_site_label
_atom_site_type_symbol
_atom_site_fract_x
_atom_site_fract_y
_atom_site_fract_z
_atom_site_occupancy
Sr1 Sr 0.0000 0.0000 0.0000 1
La1 La 0.0000 0.0000 0.4995 1
Pr1 Pr 0.0000 0.2489 0.2499 1
Pr2 Pr 0.2475 0.0000 0.3331 1
Pr3 Pr 0.2541 0.0000 0.8296 1
Pr4 Pr 0.2548 0.2449 0.5848 1
Pr5 Pr 0.5000 0.0000 0.9998 1
Pr6 Pr 0.5000 0.0000 0.4992 1
Pr7 Pr 0.5000 0.2490 0.2500 1
```

DOS at the Fermi energy   55.3 states/eV/cell
V   37.38 A^3/atom
Calculated total energy   -4.537 eV per atom
Crystal system   orthorhombic
Size of the total moment   0.00 μB/cell

6.
Here is crystalline SrLaPr at its relaxed geometry from Alexandria. Energies are from PBE.

Geometry as CIF:
```
data_SrLaPr
_chemical_formula_sum 'Sr1 La1 Pr1'
_cell_length_a 3.8655
_cell_length_b 3.8655
_cell_length_c 9.6118
_cell_angle_alpha 90.00
_cell_angle_beta 90.00
_cell_angle_gamma 120.00
_symmetry_space_group_name_H-M 'P 3 m 1'
_symmetry_Int_Tables_number 156
_symmetry_space_group_name_Hall 'P 3 -2"'
loop_
_atom_site_label
_atom_site_type_symbol
_atom_site_fract_x
_atom_site_fract_y
_atom_site_fract_z
_atom_site_occupancy
Sr1 Sr 0.0000 0.0000 0.0000 1
La1 La 0.3333 0.6667 0.6447 1
Pr1 Pr 0.6667 0.3333 0.3466 1
```

DOS at the Fermi energy   4.0 states/eV/cell
V   41.46 A^3/atom
Crystal system   trigonal
Size of the total moment   0.00 μB/cell
E above lowest polymorph   16 meV/atom

7.
Here is crystalline Sr2La5Pr4 at its relaxed geometry from Alexandria. Energies are from PBE.

Geometry as CIF:
```
data_Sr2La5Pr4
_chemical_formula_sum 'Sr2 La5 Pr4'
_cell_length_a 6.6069
_cell_length_b 8.4386
_cell_length_c 8.5500
_cell_angle_alpha 107.09
_cell_angle_beta 105.11
_cell_angle_gamma 97.59
_symmetry_space_group_name_H-M 'P -1'
_symmetry_Int_Tables_number 2
_symmetry_space_group_name_Hall '-P 1'
loop_
_atom_site_label
_atom_site_type_symbol
_atom_site_fract_x
_atom_site_fract_y
_atom_site_fract_z
_atom_site_occupancy
Sr1 Sr 0.1318 0.2313 0.0448 1
La1 La 0.2357 0.0455 0.4286 1
La2 La 0.4209 0.6911 0.1451 1
La3 La 0.5000 0.5000 0.5000 1
Pr1 Pr 0.0502 0.4058 0.6670 1
Pr2 Pr 0.3235 0.8570 0.7596 1
```

DOS at the Fermi energy   19.0 states/eV/cell
V   38.95 A^3/atom
Calculated total energy   -4.204 eV per atom
Crystal system   triclinic
Size of the total moment   0.00 μB/cell

8.
Here is crystalline SrLa8Pr6 at its relaxed geometry from Alexandria. Energies are from PBE.

Geometry as CIF:
```
data_SrLa8Pr6
_chemical_formula_sum 'Sr3 La24 Pr18'
_cell_length_a 10.1281
_cell_length_b 10.1281
_cell_length_c 18.7866
_cell_angle_alpha 90.00
_cell_angle_beta 90.00
_cell_angle_gamma 120.00
_symmetry_space_group_name_H-M 'R -3'
_symmetry_Int_Tables_number 148
_symmetry_space_group_name_Hall '-R 3'
loop_
_atom_site_label
_atom_site_type_symbol
_atom_site_fract_x
_atom_site_fract_y
_atom_site_fract_z
_atom_site_occupancy
Sr1 Sr 0.0000 0.0000 0.0000 1
La1 La 0.0000 0.0000 0.2336 1
La2 La 0.0432 0.6201 0.5659 1
Pr1 Pr 0.0216 0.7877 0.4059 1
```

DOS at the Fermi energy   68.3 states/eV/cell
V   37.09 A^3/atom
Calculated total energy   -4.503 eV per atom
Crystal system   trigonal
Size of the total moment   0.00 μB/cell

9.
Here is crystalline SrLaPr at its relaxed geometry from Alexandria. Energies are from PBE.

Geometry as CIF:
```
data_SrLaPr
_chemical_formula_sum 'Sr2 La2 Pr2'
_cell_length_a 3.8519
_cell_length_b 3.8519
_cell_length_c 16.7428
_cell_angle_alpha 90.00
_cell_angle_beta 90.00
_cell_angle_gamma 90.00
_symmetry_space_group_name_H-M 'I 4 m m'
_symmetry_Int_Tables_number 107
_symmetry_space_group_name_Hall 'I 4 -2'
loop_
_atom_site_label
_atom_site_type_symbol
_atom_site_fract_x
_atom_site_fract_y
_atom_site_fract_z
_atom_site_occupancy
Sr1 Sr 0.0000 0.0000 0.0000 1
La1 La 0.0000 0.0000 0.3189 1
Pr1 Pr 0.0000 0.0000 0.6762 1
```

DOS at the Fermi energy   7.5 states/eV/cell
V   41.40 A^3/atom
Crystal system   tetragonal
Size of the total moment   0.00 μB/cell
E above lowest polymorph   0 meV/atom

10.
Here is crystalline SrLaPr at its relaxed geometry from Alexandria. Energies are from PBE.

Geometry as CIF:
```
data_SrLaPr
_chemical_formula_sum 'Sr2 La2 Pr2'
_cell_length_a 4.3535
_cell_length_b 4.3535
_cell_length_c 13.3441
_cell_angle_alpha 90.00
_cell_angle_beta 90.00
_cell_angle_gamma 90.00
_symmetry_space_group_name_H-M 'P 4/n m m'
_symmetry_Int_Tables_number 129
loop_
_symmetry_equiv_pos_as_xyz
'x,y,z'
'-x,-y,-z'
'-y+1/2,x,z'
'y+1/2,-x,-z'
'-x+1/2,-y+1/2,z'
'x+1/2,y+1/2,-z'
'y,-x+1/2,z'
'-y,x+1/2,-z'
'x+1/2,-y,-z'
'-x+1/2,y,z'
'-y,-x,-z'
'y,x,z'
'-x,y+1/2,-z'
'x,-y+1/2,z'
'y+1/2,x+1/2,-z'
'-y+1/2,-x+1/2,z'
loop_
_atom_site_label
_atom_site_type_symbol
_atom_site_fract_x
_atom_site_fract_y
_atom_site_fract_z
_atom_site_occupancy
Sr1 Sr 0.2500 0.2500 0.1095 1
La1 La 0.2500 0.2500 0.4388 1
Pr1 Pr 0.2500 0.2500 0.7042 1
```

DOS at the Fermi energy   10.2 states/eV/cell
V   42.15 A^3/atom
Crystal system   tetragonal
Size of the total moment   0.00 μB/cell
E above lowest polymorph   39 meV/atom